(1)
First-principles (PBE) data for a geometry-optimized Pm4Sm5Er structure, as listed in Alexandria via LeMat-Bulk.

Geometry as extended XYZ:
```
10
Lattice="-5.2956 5.2956 3.0739 5.2956 -5.2956 3.0739 5.2956 5.2956 -3.0739" Properties=species:S:1:pos:R:3 pbc="T T T"
Pm 3.4326 0.0000 0.0000
Pm 7.1585 0.0000 0.0000
Pm 0.0000 3.4326 0.0000
Pm 0.0000 7.1585 0.0000
Sm 0.0000 0.0000 1.5624
Sm 3.2972 3.2972 0.1667
Sm 1.9983 -1.9983 3.2407
Sm -1.9983 1.9983 3.2407
Sm 1.9983 1.9983 3.2407
Er 0.0000 0.0000 4.8320
```

Excess energy over the best structure of this formula in the dataset in meV/atom: 88.0
Energy of formation in meV per atom: 236
Symmetry: I4mm
Calculated total energy in hartree per atom: -0.16466

(2)
First-principles (PBE) data for a geometry-optimized LaNdTm2Th structure, as listed in Alexandria via LeMat-Bulk.

Geometry as extended XYZ:
```
5
Lattice="3.5354 0.0000 0.0000 0.0000 5.6805 0.0000 0.0000 0.0000 8.7322" Properties=species:S:1:pos:R:3 pbc="T T T"
La 0.0000 0.0000 0.0000
Nd 1.7677 0.0000 4.3661
Tm 0.0000 2.8403 2.7968
Tm 0.0000 2.8403 5.9354
Th 1.7677 2.8403 0.0000
```

Energy of formation in meV per atom: 263
Symmetry: Pmmm
Calculated total energy in hartree per atom: -0.18184

(3)
First-principles (PBE) data for a geometry-optimized Sr2ReAs structure, as listed in Alexandria via LeMat-Bulk.

Geometry as extended XYZ:
```
8
Lattice="4.2512 0.0000 0.0000 0.0000 4.7897 0.0000 0.0000 0.0000 11.3027" Properties=species:S:1:pos:R:3 pbc="T T T"
Sr 0.0000 0.0000 0.0000
Sr 0.0000 2.3948 5.6513
Sr 2.1256 0.0000 3.2444
Sr 2.1256 2.3948 8.8958
Re 2.1256 0.0000 6.7167
Re 2.1256 2.3948 1.0654
As 0.0000 0.0000 7.8799
As 0.0000 2.3948 2.2286
```

Energy of formation in meV per atom: -5
Symmetry: Amm2
Calculated total energy in hartree per atom: -0.18817

(4)
First-principles (PBE) data for a geometry-optimized SrLi2AgF8 structure, as listed in Alexandria via LeMat-Bulk.

Geometry as extended XYZ:
```
12
Lattice="4.2769 0.0000 0.0000 0.0728 5.4581 0.0000 0.7526 2.1536 7.2053" Properties=species:S:1:pos:R:3 pbc="T T T"
Sr 0.0000 0.0000 0.0000
Li 2.2043 2.5752 1.3562
Li 2.8980 5.0365 5.8491
Ag 0.3763 1.0768 3.6027
F 1.0321 5.6399 5.5477
F 1.0326 5.1400 2.3299
F 1.9031 2.2464 3.2373
F 2.8179 3.5474 7.0081
F 2.2845 4.0643 0.1972
F 3.1993 5.3653 3.9680
F 4.0698 2.4717 4.8754
F 4.0703 1.9718 1.6576
```

Formation energy from raw total energies in eV per atom: -2.282
Symmetry: P-1
Calculated total energy in hartree per atom: -0.15532

(5)
First-principles (PBE) data for a geometry-optimized U2BiSe6 structure, as listed in Alexandria via LeMat-Bulk.

Geometry as extended XYZ:
```
9
Lattice="9.0225 -2.0829 0.0000 9.0225 2.0829 0.0000 -1.9380 0.0000 8.2054" Properties=species:S:1:pos:R:3 pbc="T T T"
U 2.3652 0.0000 2.6767
U 13.7418 0.0000 5.5287
Bi 9.0225 0.0000 0.0000
Se -0.2986 0.0000 2.0763
Se 5.0363 0.0000 3.6289
Se 4.2493 0.0000 7.3429
Se 11.8577 0.0000 0.8625
Se 11.0707 0.0000 4.5765
Se 16.4055 0.0000 6.1291
```

Excess energy over the best structure of this formula in the dataset in meV/atom: 0.0
Formation energy from raw total energies in eV per atom: -0.883
Symmetry: C2/m
Calculated total energy in hartree per atom: -0.22585

(6)
First-principles (PBE) data for a geometry-optimized AcU3Pd4S12 structure, as listed in Alexandria via LeMat-Bulk.

Geometry as extended XYZ:
```
20
Lattice="6.7037 3.8704 3.2971 -6.7037 3.8704 3.2971 0.0000 -7.7408 3.2971" Properties=species:S:1:pos:R:3 pbc="T T T"
Ac 0.0000 0.0000 0.0000
U -3.8076 -1.1458 3.2971
U -3.8076 1.1458 6.5941
U 0.9115 3.8704 3.2971
Pd -2.7561 -4.7738 4.9456
Pd 0.0000 0.0000 4.9456
Pd -2.7561 4.7738 4.9456
Pd 5.5123 0.0000 4.9456
S -4.3990 -3.1731 4.7460
S -5.5293 0.0000 4.9456
S -0.5485 -5.3962 5.1452
S -4.3990 3.1731 5.1452
S -2.2585 0.0000 4.9456
S 2.7647 -4.7885 4.9456
S 1.1292 -1.9559 4.9456
S 1.1292 1.9559 4.9456
S -0.5485 5.3962 4.7460
S 4.9475 -2.2231 4.7460
S 2.7647 4.7885 4.9456
S 4.9475 2.2231 5.1452
```

Formation energy from raw total energies in eV per atom: -0.824
Symmetry: R32
Calculated total energy in hartree per atom: -0.22924

> The highest calculated total energy belongs to which entry?

SrLi2AgF8

> Which of these has the highest calculated total energy?

SrLi2AgF8

> Number 6 is which compound?

AcU3Pd4S12